Entry 1:
{"formula": "Cu2HgTe4Ir", "functional": "PBE", "state": "relaxed", "final_energy_ry_per_atom": -0.26729, "spacegroup": "I-42m", "lattice_angstrom": [[-3.071, 3.071, 6.030], [3.071, -3.071, 6.030], [3.071, 3.071, -6.030]], "species": ["Cu", "Cu", "Hg", "Te", "Te", "Te", "Te", "Ir"], "fractional_positions": [[0.250, 0.750, 0.500], [0.750, 0.250, 0.500], [0.000, 0.000, 0.000], [0.140, 0.140, 0.553], [0.413, 0.860, 0.000], [0.587, 0.587, 0.447], [0.860, 0.413, 0.000], [0.500, 0.500, 0.000]]}

Entry 2:
{"formula": "ZnCuHgIr", "functional": "PBE", "state": "relaxed", "e_above_lowest_polymorph_ev_per_atom": 0.0000, "delta_e_f_ev_per_atom": 0.192, "spacegroup": "F-43m", "lattice_angstrom": [[0.000, 3.146, 3.146], [3.146, 0.000, 3.146], [3.146, 3.146, 0.000]], "species": ["Zn", "Cu", "Hg", "Ir"], "fractional_positions": [[0.000, 0.000, 0.000], [0.250, 0.250, 0.250], [0.500, 0.500, 0.500], [0.750, 0.750, 0.750]]}

Number 1: volume 28.44 Å³ per atom. Number 2: volume 15.58 Å³ per atom.